# 1
Below is a geometry-optimized Sc3AlO structure, with properties calculated at the PBE-GGA level.

Properties
DOS at the Fermi energy, states/eV/cell: 4.9
VASP energy, eV/atom: -6.07
Volume, Å³/f.u.: 134.4

```
data_Sc3AlO
_space_group_name_H-M_alt 'P 4 m m'
_space_group_IT_number 99
_space_group_name_Hall 'P 4 -2'
_cell_length_a 4.1780
_cell_length_b 4.1780
_cell_length_c 7.7018
_cell_angle_alpha 90.00
_cell_angle_beta 90.00
_cell_angle_gamma 90.00
loop_
_atom_site_label
_atom_site_type_symbol
_atom_site_fract_x
_atom_site_fract_y
_atom_site_fract_z
Sc1 Sc 0.0000 0.0000 0.0000
Sc2 Sc 0.0000 0.5000 0.6554
Al1 Al 0.0000 0.0000 0.3702
O1 O 0.5000 0.5000 0.6489
```

***

# 2
Below is a geometry-optimized CsNpAs2O8 structure, with properties calculated at the PBE-GGA level.

Properties
DOS at the Fermi energy, states/eV/cell: 20.7
VASP energy, eV/atom: -7.06
Volume, Å³/f.u.: 241.3

```
data_CsNpAs2O8
_space_group_name_H-M_alt 'R -3'
_space_group_IT_number 148
_space_group_name_Hall '-R 3'
_cell_length_a 5.4068
_cell_length_b 5.4068
_cell_length_c 28.5948
_cell_angle_alpha 90.00
_cell_angle_beta 90.00
_cell_angle_gamma 120.00
loop_
_atom_site_label
_atom_site_type_symbol
_atom_site_fract_x
_atom_site_fract_y
_atom_site_fract_z
Cs1 Cs 0.0000 0.0000 0.0000
Np1 Np 0.0000 0.0000 0.5000
As1 As 0.0000 0.0000 0.2346
O1 O 0.0000 0.0000 0.2928
O2 O 0.0143 0.3966 0.8774
```

***

# 3
Below is a geometry-optimized YbB4 structure, with properties calculated at the PBE-GGA level.

Properties
ΔH_f (0 K), eV/atom: -0.49
DOS at the Fermi energy, states/eV/cell: 41.4
VASP energy, eV/atom: -6.13
Volume, Å³/f.u.: 51.0

```
data_YbB4
_space_group_name_H-M_alt 'P 4/m b m'
_space_group_IT_number 127
_space_group_name_Hall '-P 4 2ab'
_cell_length_a 7.1113
_cell_length_b 7.1113
_cell_length_c 4.0338
_cell_angle_alpha 90.00
_cell_angle_beta 90.00
_cell_angle_gamma 90.00
loop_
_atom_site_label
_atom_site_type_symbol
_atom_site_fract_x
_atom_site_fract_y
_atom_site_fract_z
Yb1 Yb 0.1863 0.3137 0.0000
B1 B 0.0000 0.0000 0.2032
B2 B 0.0371 0.8238 0.5000
B3 B 0.0867 0.5867 0.5000
```